(1)
The following is a DFT calculation (PBE) of crystalline NdEu2Ga at its relaxed geometry.

```
4
Lattice="3.723 0.000 0.000 0.000 3.723 0.000 0.000 0.000 9.255" Properties=species:S:1:pos:R:3 pbc="T T T"
Nd 0.000 0.000 0.000
Eu 1.862 1.862 2.795
Eu 1.862 1.862 6.460
Ga 0.000 0.000 4.628
```

Output
DFT formation energy in kJ/mol of atoms: -18
Crystal system: tetragonal

(2)
The following is a DFT calculation (PBE) of crystalline HfBi2Ru at its relaxed geometry.

```
16
Lattice="4.401 0.000 0.000 0.000 4.401 0.000 0.000 0.000 20.029" Properties=species:S:1:pos:R:3 pbc="T T T"
Hf 0.000 0.000 0.000
Hf 0.000 2.200 5.007
Hf 2.200 0.000 15.022
Hf 2.200 2.200 10.015
Bi 1.048 1.100 12.518
Bi 1.100 3.249 17.526
Bi 1.100 3.353 7.511
Bi 1.152 1.100 2.504
Bi 3.249 3.301 2.504
Bi 3.301 1.048 7.511
Bi 3.301 1.152 17.526
Bi 3.353 3.301 12.518
Ru 0.000 0.000 10.015
Ru 0.000 2.200 15.022
Ru 2.200 0.000 5.007
Ru 2.200 2.200 0.000
```

Output
DFT formation energy in kJ/mol of atoms: 44
Crystal system: tetragonal

(3)
The following is a DFT calculation (PBE) of crystalline Ac3Tl4GeSe8 at its relaxed geometry.

```
16
Lattice="4.479 2.586 7.516 -4.479 2.586 7.516 0.000 -5.172 7.516" Properties=species:S:1:pos:R:3 pbc="T T T"
Ac -2.240 -1.293 7.516
Ac -2.240 1.293 15.031
Ac 0.000 2.586 7.516
Tl -4.479 0.000 11.273
Tl -2.240 1.293 3.758
Tl 2.240 1.293 3.758
Tl 0.000 0.000 11.273
Ge 0.000 0.000 0.000
Se 0.000 -2.713 9.138
Se -2.349 1.356 9.138
Se -2.349 -1.356 13.408
Se 0.000 0.000 5.817
Se 0.000 0.000 16.730
Se 2.349 1.356 9.138
Se 2.349 -1.356 13.408
Se 0.000 2.713 13.408
```

Output
Formation energy from raw total energies in kJ/mol of atoms: -105.2
Crystal system: trigonal

(4)
The following is a DFT calculation (PBE) of crystalline Sc2InPd at its relaxed geometry.

```
16
Lattice="7.677 0.000 0.000 0.000 7.677 0.000 0.000 0.000 6.074" Properties=species:S:1:pos:R:3 pbc="T T T"
Sc 1.590 1.919 0.759
Sc 1.919 5.429 2.278
Sc 1.919 6.087 5.315
Sc 2.249 1.919 3.797
Sc 5.429 5.758 3.797
Sc 5.758 1.590 5.315
Sc 5.758 2.249 2.278
Sc 6.087 5.758 0.759
In 0.000 0.000 3.037
In 0.000 3.839 4.556
In 3.839 0.000 1.519
In 3.839 3.839 0.000
Pd 0.000 0.000 0.000
Pd 0.000 3.839 1.519
Pd 3.839 0.000 4.556
Pd 3.839 3.839 3.037
```

Output
DFT formation energy in kJ/mol of atoms: -27
Crystal system: tetragonal

Magnetization for every record listed, in sequence, given in μB per cell: 14.4; 0.0; 0.0; 0.0.